Entry 1:
This record from Alexandria describes an optimized crystal structure of HfTc3N. The functional is GGA-PBEsol.

Properties
The crystal system is cubic. As for the formation energy (no corrections): 3.27 eV/atom. The calculation puts the total energy at -7.295 eV/atom.

abc: 4.6819 4.6819 4.6819
angles: 90.00 90.00 90.00
Space group Pm-3m (No. 221)
One atom of each set of equivalent atoms:
Hf (0.0000, 0.0000, 0.0000) [1 per cell]
Tc (0.0000, 0.0000, 0.5000) [3 per cell]
N (0.5000, 0.5000, 0.5000) [1 per cell]

Entry 2:
This record from Alexandria describes an optimized crystal structure of HfTcN2. The functional is GGA-PBEsol.

Properties
The crystal system is trigonal. As for the formation energy (no corrections): -0.13 eV/atom. The calculation puts the total energy at -9.838 eV/atom.

abc: 3.0816 3.0816 18.6326
angles: 90.00 90.00 120.00
Space group R-3m (No. 166, hexagonal axes)
One atom of each set of equivalent atoms:
Hf (0.0000, 0.0000, 0.0000) [3 per cell]
Tc (0.0000, 0.0000, 0.5000) [3 per cell]
N (0.0000, 0.0000, 0.1108) [6 per cell]